## Nd2SmHfAs4 (PBE)

Data for a geometry-optimized Nd2SmHfAs4 structure.

a = 4.131 Å, b = 7.161 Å, c = 7.169 Å
α = 109.22°, β = 90.00°, γ = 90.00°
Fractional positions:
Nd  0.500  0.000  0.500
Nd  0.000  0.500  0.500
Sm  0.500  0.500  0.000
Hf  0.000  0.000  0.000
As  0.500  0.231  0.229
As  0.500  0.769  0.771
As  0.000  0.242  0.763
As  0.000  0.758  0.237

Summary:
Raw total energy = -6.722 eV/atom
DOS(E_F) = 0.1813 states/eV/atom



## Tb2NdHfAs4 (PBE)

Data for a geometry-optimized Tb2NdHfAs4 structure.

a = 4.083 Å, b = 7.082 Å, c = 7.067 Å
α = 109.24°, β = 90.00°, γ = 90.00°
Fractional positions:
Tb  0.500  0.000  0.500
Tb  0.000  0.500  0.500
Nd  0.500  0.500  0.000
Hf  0.000  0.000  0.000
As  0.500  0.233  0.239
As  0.500  0.767  0.761
As  0.000  0.237  0.752
As  0.000  0.763  0.248

Summary:
Raw total energy = -6.696 eV/atom
DOS(E_F) = 0.1780 states/eV/atom



## TbNd2HfAs4 (PBE)

Data for a geometry-optimized TbNd2HfAs4 structure.

a = 4.110 Å, b = 7.123 Å, c = 7.140 Å
α = 109.23°, β = 90.00°, γ = 90.00°
Fractional positions:
Tb  0.500  0.500  0.000
Nd  0.500  0.000  0.500
Nd  0.000  0.500  0.500
Hf  0.000  0.000  0.000
As  0.500  0.233  0.228
As  0.500  0.767  0.772
As  0.000  0.245  0.766
As  0.000  0.755  0.234

Summary:
Raw total energy = -6.722 eV/atom
DOS(E_F) = 0.1818 states/eV/atom